*w*
Entry from the Alexandria database: a relaxed TbPrThMg crystal (PBE).

Volume in Å³/atom: 30.85
Total magnetization in μB/atom: 0.00

```
data_TbPrThMg
_space_group_name_H-M_alt 'P 4 m m'
_space_group_IT_number 99
_cell_length_a 3.6314
_cell_length_b 3.6314
_cell_length_c 9.3570
_cell_angle_alpha 90.00
_cell_angle_beta 90.00
_cell_angle_gamma 90.00
loop_
_space_group_symop_operation_xyz
'x,y,z'
'-y,x,z'
'-x,-y,z'
'y,-x,z'
'-x,y,z'
'y,x,z'
'x,-y,z'
'-y,-x,z'
loop_
_atom_site_label
_atom_site_type_symbol
_atom_site_fract_x
_atom_site_fract_y
_atom_site_fract_z
Tb1 Tb 0.0000 0.0000 0.0000
Pr1 Pr 0.0000 0.0000 0.5178
Th1 Th 0.5000 0.5000 0.2538
Mg1 Mg 0.5000 0.5000 0.7680
```

*x*
Entry from the Alexandria database: a relaxed TbPrThMg crystal (PBE).

Volume in Å³/atom: 31.04
Total magnetization in μB/atom: 0.00

```
data_TbPrThMg
_space_group_name_H-M_alt 'F -4 3 m'
_space_group_IT_number 216
_space_group_name_Hall 'F -4 2 3'
_cell_length_a 7.9192
_cell_length_b 7.9192
_cell_length_c 7.9192
_cell_angle_alpha 90.00
_cell_angle_beta 90.00
_cell_angle_gamma 90.00
loop_
_atom_site_label
_atom_site_type_symbol
_atom_site_fract_x
_atom_site_fract_y
_atom_site_fract_z
Tb1 Tb 0.0000 0.0000 0.0000
Pr1 Pr 0.0000 0.0000 0.5000
Th1 Th 0.2500 0.2500 0.7500
Mg1 Mg 0.2500 0.2500 0.2500
```

Last place for stability: *x*

*w*
Entry from the Alexandria database: a relaxed TbPrMgZn crystal (PBE).

Volume in Å³/atom: 26.25
Total magnetization in μB/atom: 0.00

```
data_TbPrMgZn
_space_group_name_H-M_alt 'F -4 3 m'
_space_group_IT_number 216
_space_group_name_Hall 'F -4 2 3'
_cell_length_a 7.4886
_cell_length_b 7.4886
_cell_length_c 7.4886
_cell_angle_alpha 90.00
_cell_angle_beta 90.00
_cell_angle_gamma 90.00
loop_
_atom_site_label
_atom_site_type_symbol
_atom_site_fract_x
_atom_site_fract_y
_atom_site_fract_z
Tb1 Tb 0.0000 0.0000 0.0000
Pr1 Pr 0.0000 0.0000 0.5000
Mg1 Mg 0.2500 0.2500 0.2500
Zn1 Zn 0.2500 0.2500 0.7500
```

*x*
Entry from the Alexandria database: a relaxed TbPrMgZn crystal (PBE).

Volume in Å³/atom: 26.48
Total magnetization in μB/atom: 0.00

```
data_TbPrMgZn
_space_group_name_H-M_alt 'P 4 m m'
_space_group_IT_number 99
_cell_length_a 3.6820
_cell_length_b 3.6820
_cell_length_c 7.8132
_cell_angle_alpha 90.00
_cell_angle_beta 90.00
_cell_angle_gamma 90.00
loop_
_space_group_symop_operation_xyz
'x,y,z'
'-y,x,z'
'-x,-y,z'
'y,-x,z'
'-x,y,z'
'y,x,z'
'x,-y,z'
'-y,-x,z'
loop_
_atom_site_label
_atom_site_type_symbol
_atom_site_fract_x
_atom_site_fract_y
_atom_site_fract_z
Tb1 Tb 0.0000 0.0000 0.0000
Pr1 Pr 0.0000 0.0000 0.5495
Mg1 Mg 0.5000 0.5000 0.2635
Zn1 Zn 0.5000 0.5000 0.7942
```

Last place for stability: *w*

*w*
Entry from the Alexandria database: a relaxed PrMgTe2 crystal (PBE).

Volume in Å³/atom: 40.86
Total magnetization in μB/atom: 0.04

```
data_PrMgTe2
_space_group_name_H-M_alt 'P 32 2 1'
_space_group_IT_number 154
_cell_length_a 4.5271
_cell_length_b 4.5271
_cell_length_c 27.6240
_cell_angle_alpha 90.00
_cell_angle_beta 90.00
_cell_angle_gamma 120.00
loop_
_space_group_symop_operation_xyz
'x,y,z'
'-y,x-y,z+2/3'
'-x+y,-x,z+1/3'
'y,x,-z'
'x-y,-y,-z+1/3'
'-x,-x+y,-z+2/3'
loop_
_atom_site_label
_atom_site_type_symbol
_atom_site_fract_x
_atom_site_fract_y
_atom_site_fract_z
Pr1 Pr 0.0000 0.3289 0.3333
Mg1 Mg 0.0000 0.3474 0.8333
Te1 Te 0.0046 0.3374 0.9335
```

*x*
Entry from the Alexandria database: a relaxed PrMgTe2 crystal (PBE).

Volume in Å³/atom: 29.89
Total magnetization in μB/atom: 0.00

```
data_PrMgTe2
_space_group_name_H-M_alt 'R -3 m'
_space_group_IT_number 166
_space_group_name_Hall '-R 3 2"'
_cell_length_a 4.2560
_cell_length_b 4.2560
_cell_length_c 22.8628
_cell_angle_alpha 90.00
_cell_angle_beta 90.00
_cell_angle_gamma 120.00
loop_
_atom_site_label
_atom_site_type_symbol
_atom_site_fract_x
_atom_site_fract_y
_atom_site_fract_z
Pr1 Pr 0.0000 0.0000 0.0000
Mg1 Mg 0.0000 0.0000 0.5000
Te1 Te 0.0000 0.0000 0.2412
```

Last place for stability: *w*

*w*
Entry from the Alexandria database: a relaxed PrTh2Mg crystal (PBE).

Volume in Å³/atom: 31.35
Total magnetization in μB/atom: 0.00

```
data_PrTh2Mg
_space_group_name_H-M_alt 'C 1 m 1'
_space_group_IT_number 8
_cell_length_a 6.0148
_cell_length_b 3.4730
_cell_length_c 12.1736
_cell_angle_alpha 90.00
_cell_angle_beta 99.51
_cell_angle_gamma 90.00
loop_
_space_group_symop_operation_xyz
'x,y,z'
'x,-y,z'
'x+1/2,y+1/2,z'
'x+1/2,-y+1/2,z'
loop_
_atom_site_label
_atom_site_type_symbol
_atom_site_fract_x
_atom_site_fract_y
_atom_site_fract_z
Pr1 Pr 0.0000 0.0000 0.0000
Th1 Th 0.0788 0.5000 0.7383
Th2 Th 0.4213 0.0000 0.2574
Mg1 Mg 0.1669 0.0000 0.4977
```

*x*
Entry from the Alexandria database: a relaxed PrTh2Mg crystal (PBE).

Volume in Å³/atom: 31.18
Total magnetization in μB/atom: 0.00

```
data_PrTh2Mg
_space_group_name_H-M_alt 'P 4/m m m'
_space_group_IT_number 123
_space_group_name_Hall '-P 4 2'
_cell_length_a 4.9403
_cell_length_b 4.9403
_cell_length_c 5.1097
_cell_angle_alpha 90.00
_cell_angle_beta 90.00
_cell_angle_gamma 90.00
loop_
_atom_site_label
_atom_site_type_symbol
_atom_site_fract_x
_atom_site_fract_y
_atom_site_fract_z
Pr1 Pr 0.0000 0.0000 0.0000
Th1 Th 0.0000 0.5000 0.5000
Mg1 Mg 0.5000 0.5000 0.0000
```

*y*
Entry from the Alexandria database: a relaxed PrTh2Mg crystal (PBE).

Volume in Å³/atom: 31.16
Total magnetization in μB/atom: 0.00

```
data_PrTh2Mg
_space_group_name_H-M_alt 'F m -3 m'
_space_group_IT_number 225
_space_group_name_Hall '-F 4 2 3'
_cell_length_a 7.9293
_cell_length_b 7.9293
_cell_length_c 7.9293
_cell_angle_alpha 90.00
_cell_angle_beta 90.00
_cell_angle_gamma 90.00
loop_
_atom_site_label
_atom_site_type_symbol
_atom_site_fract_x
_atom_site_fract_y
_atom_site_fract_z
Pr1 Pr 0.0000 0.0000 0.0000
Th1 Th 0.2500 0.2500 0.2500
Mg1 Mg 0.0000 0.0000 0.5000
```

Last place for stability: *y*

*w*
Entry from the Alexandria database: a relaxed PrTh2Mg crystal (PBE).

Volume in Å³/atom: 31.44
Total magnetization in μB/atom: 0.00

```
data_PrTh2Mg
_space_group_name_H-M_alt 'P 4/m m m'
_space_group_IT_number 123
_space_group_name_Hall '-P 4 2'
_cell_length_a 3.5434
_cell_length_b 3.5434
_cell_length_c 10.0175
_cell_angle_alpha 90.00
_cell_angle_beta 90.00
_cell_angle_gamma 90.00
loop_
_atom_site_label
_atom_site_type_symbol
_atom_site_fract_x
_atom_site_fract_y
_atom_site_fract_z
Pr1 Pr 0.0000 0.0000 0.0000
Th1 Th 0.5000 0.5000 0.2667
Mg1 Mg 0.0000 0.0000 0.5000
```

*x*
Entry from the Alexandria database: a relaxed PrTh2Mg crystal (PBE).

Volume in Å³/atom: 31.70
Total magnetization in μB/atom: 0.00

```
data_PrTh2Mg
_space_group_name_H-M_alt 'R -3 m'
_space_group_IT_number 166
_space_group_name_Hall '-R 3 2"'
_cell_length_a 3.3985
_cell_length_b 3.3985
_cell_length_c 38.0285
_cell_angle_alpha 90.00
_cell_angle_beta 90.00
_cell_angle_gamma 120.00
loop_
_atom_site_label
_atom_site_type_symbol
_atom_site_fract_x
_atom_site_fract_y
_atom_site_fract_z
Pr1 Pr 0.0000 0.0000 0.0000
Th1 Th 0.0000 0.0000 0.0907
Mg1 Mg 0.0000 0.0000 0.5000
```

Last place for stability: *x*

*w*
Entry from the Alexandria database: a relaxed Pr6ThMg crystal (PBE).

Volume in Å³/atom: 34.17
Total magnetization in μB/atom: 0.00

```
data_Pr6ThMg
_space_group_name_H-M_alt 'I 4/m m m'
_space_group_IT_number 139
_space_group_name_Hall '-I 4 2'
_cell_length_a 5.9608
_cell_length_b 5.9608
_cell_length_c 15.3882
_cell_angle_alpha 90.00
_cell_angle_beta 90.00
_cell_angle_gamma 90.00
loop_
_atom_site_label
_atom_site_type_symbol
_atom_site_fract_x
_atom_site_fract_y
_atom_site_fract_z
Pr1 Pr 0.0000 0.0000 0.2372
Pr2 Pr 0.0000 0.5000 0.1159
Th1 Th 0.0000 0.0000 0.0000
Mg1 Mg 0.0000 0.0000 0.5000
```

*x*
Entry from the Alexandria database: a relaxed Pr6ThMg crystal (PBE).

Volume in Å³/atom: 33.95
Total magnetization in μB/atom: 0.00

```
data_Pr6ThMg
_space_group_name_H-M_alt 'P 4/m m m'
_space_group_IT_number 123
_space_group_name_Hall '-P 4 2'
_cell_length_a 5.1547
_cell_length_b 5.1547
_cell_length_c 10.2221
_cell_angle_alpha 90.00
_cell_angle_beta 90.00
_cell_angle_gamma 90.00
loop_
_atom_site_label
_atom_site_type_symbol
_atom_site_fract_x
_atom_site_fract_y
_atom_site_fract_z
Pr1 Pr 0.0000 0.0000 0.0000
Pr2 Pr 0.0000 0.0000 0.5000
Pr3 Pr 0.0000 0.5000 0.2494
Th1 Th 0.5000 0.5000 0.0000
Mg1 Mg 0.5000 0.5000 0.5000
```

Last place for stability: *w*

*w*
Entry from the Alexandria database: a relaxed PrThMg2 crystal (PBE).

Volume in Å³/atom: 28.97
Total magnetization in μB/atom: 0.00

```
data_PrThMg2
_space_group_name_H-M_alt 'F m -3 m'
_space_group_IT_number 225
_space_group_name_Hall '-F 4 2 3'
_cell_length_a 7.7392
_cell_length_b 7.7392
_cell_length_c 7.7392
_cell_angle_alpha 90.00
_cell_angle_beta 90.00
_cell_angle_gamma 90.00
loop_
_atom_site_label
_atom_site_type_symbol
_atom_site_fract_x
_atom_site_fract_y
_atom_site_fract_z
Pr1 Pr 0.0000 0.0000 0.0000
Th1 Th 0.0000 0.0000 0.5000
Mg1 Mg 0.2500 0.2500 0.2500
```

*x*
Entry from the Alexandria database: a relaxed PrThMg2 crystal (PBE).

Volume in Å³/atom: 29.05
Total magnetization in μB/atom: 0.00

```
data_PrThMg2
_space_group_name_H-M_alt 'P 4/m m m'
_space_group_IT_number 123
_space_group_name_Hall '-P 4 2'
_cell_length_a 3.8656
_cell_length_b 3.8656
_cell_length_c 7.7777
_cell_angle_alpha 90.00
_cell_angle_beta 90.00
_cell_angle_gamma 90.00
loop_
_atom_site_label
_atom_site_type_symbol
_atom_site_fract_x
_atom_site_fract_y
_atom_site_fract_z
Pr1 Pr 0.0000 0.0000 0.0000
Th1 Th 0.0000 0.0000 0.5000
Mg1 Mg 0.5000 0.5000 0.2514
```

*y*
Entry from the Alexandria database: a relaxed PrThMg2 crystal (PBE).

Volume in Å³/atom: 29.49
Total magnetization in μB/atom: 0.00

```
data_PrThMg2
_space_group_name_H-M_alt 'R -3 m'
_space_group_IT_number 166
_space_group_name_Hall '-R 3 2"'
_cell_length_a 3.4053
_cell_length_b 3.4053
_cell_length_c 35.2399
_cell_angle_alpha 90.00
_cell_angle_beta 90.00
_cell_angle_gamma 120.00
loop_
_atom_site_label
_atom_site_type_symbol
_atom_site_fract_x
_atom_site_fract_y
_atom_site_fract_z
Pr1 Pr 0.0000 0.0000 0.0000
Th1 Th 0.0000 0.0000 0.5000
Mg1 Mg 0.0000 0.0000 0.2498
```

Last place for stability: *y*

*w*
Entry from the Alexandria database: a relaxed Pr6MgTl crystal (PBE).

Volume in Å³/atom: 33.17
Total magnetization in μB/atom: 0.00

```
data_Pr6MgTl
_space_group_name_H-M_alt 'P -1'
_space_group_IT_number 2
_cell_length_a 6.4226
_cell_length_b 6.4277
_cell_length_c 6.4295
_cell_angle_alpha 90.55
_cell_angle_beta 90.71
_cell_angle_gamma 90.89
loop_
_space_group_symop_operation_xyz
'x,y,z'
'-x,-y,-z'
loop_
_atom_site_label
_atom_site_type_symbol
_atom_site_fract_x
_atom_site_fract_y
_atom_site_fract_z
Pr1 Pr 0.0125 0.2472 0.0271
Pr2 Pr 0.2530 0.9744 0.4792
Pr3 Pr 0.4751 0.4782 0.7531
Mg1 Mg 0.0000 0.5000 0.5000
Tl1 Tl 0.5000 0.0000 0.0000
```

*x*
Entry from the Alexandria database: a relaxed Pr6MgTl crystal (PBE).

Volume in Å³/atom: 32.26
Total magnetization in μB/atom: 0.00

```
data_Pr6MgTl
_space_group_name_H-M_alt 'P 4/m m m'
_space_group_IT_number 123
_space_group_name_Hall '-P 4 2'
_cell_length_a 5.0539
_cell_length_b 5.0539
_cell_length_c 10.1045
_cell_angle_alpha 90.00
_cell_angle_beta 90.00
_cell_angle_gamma 90.00
loop_
_atom_site_label
_atom_site_type_symbol
_atom_site_fract_x
_atom_site_fract_y
_atom_site_fract_z
Pr1 Pr 0.0000 0.0000 0.0000
Pr2 Pr 0.0000 0.0000 0.5000
Pr3 Pr 0.0000 0.5000 0.2482
Mg1 Mg 0.5000 0.5000 0.5000
Tl1 Tl 0.5000 0.5000 0.0000
```

Last place for stability: *w*